# 1
First-principles (PBEsol) data for YGa2SiPd after structural relaxation, as listed in Alexandria.

For the uncorrected formation energy, the calculation gives -0.13 eV/atom. The crystal system is tetragonal.

It has space group P4/mmm (No. 123), with a = 4.712 Å, b = 4.712 Å, c = 4.688 Å, α = 90.00°, β = 90.00° and γ = 90.00°. The asymmetric unit holds Y at (0.000, 0.000, 0.000), Ga at (0.000, 0.500, 0.500), Si at (0.500, 0.500, 0.000) and Pd at (0.500, 0.500, 0.500).

=====

# 2
First-principles (PBEsol) data for Ca2AuSe after structural relaxation, as listed in Alexandria.

For the uncorrected formation energy, the calculation gives -1.24 eV/atom. The crystal system is tetragonal.

It has space group P4/mmm (No. 123), with a = 3.610 Å, b = 3.610 Å, c = 7.012 Å, α = 90.00°, β = 90.00° and γ = 90.00°. The asymmetric unit holds Ca at (0.000, 0.000, 0.246), Au at (0.500, 0.500, 0.500) and Se at (0.500, 0.500, 0.000).

=====

# 3
First-principles (PBEsol) data for Ba2Al2Ag after structural relaxation, as listed in Alexandria.

The crystal system is tetragonal. Its formation energy is 0.1004 eV/atom.

It has space group I4/mmm (No. 139), with a = 6.614 Å, b = 6.614 Å, c = 7.550 Å, α = 90.00°, β = 90.00° and γ = 90.00°. The asymmetric unit holds Ba at (0.000, 0.500, 0.250), Al at (0.000, 0.000, 0.162) and Ag at (0.000, 0.000, 0.500).

=====

# 4
First-principles (PBEsol) data for NbSnP3 after structural relaxation, as listed in Alexandria.

The crystal system is cubic. Its formation energy is 0.3007 eV/atom.

It has space group Pm-3m (No. 221), with a = 4.804 Å, b = 4.804 Å, c = 4.804 Å, α = 90.00°, β = 90.00° and γ = 90.00°. The asymmetric unit holds Nb at (0.000, 0.000, 0.000), Sn at (0.500, 0.500, 0.500) and P at (0.000, 0.000, 0.500).

=====

# 5
First-principles (PBEsol) data for SrSc2Ir2 after structural relaxation, as listed in Alexandria.

The crystal system is tetragonal. Its formation energy is -0.6485 eV/atom.

It has space group I4/mmm (No. 139), with a = 4.366 Å, b = 4.366 Å, c = 11.394 Å, α = 90.00°, β = 90.00° and γ = 90.00°. The asymmetric unit holds Sr at (0.000, 0.000, 0.000), Sc at (0.000, 0.500, 0.250) and Ir at (0.000, 0.000, 0.388).

=====

# 6
First-principles (PBEsol) data for LiCoIr2 after structural relaxation, as listed in Alexandria.

The crystal system is orthorhombic. Its formation energy is 0.2714 eV/atom.

It has space group Cmm2 (No. 35), with a = 2.664 Å, b = 4.520 Å, c = 8.891 Å, α = 90.00°, β = 90.00° and γ = 90.00°. The asymmetric unit holds Li at (0.000, 0.000, 0.000), Co at (0.000, 0.500, 0.249), Ir at (0.000, 0.000, 0.485) and Ir at (0.000, 0.500, 0.751).

=====

Number 1: E -5.1740 eV/atom. Number 2: E -4.2522 eV/atom. Number 3: E -3.0580 eV/atom. Number 4: E -6.1903 eV/atom. Number 5: E -7.5879 eV/atom. Number 6: E -7.0663 eV/atom.